1.
Entry from the Alexandria database: a geometry-optimized GaAs2O structure (PBE).

a = 4.410 Å, b = 4.410 Å, c = 4.410 Å
α = 60.00°, β = 60.00°, γ = 60.00°
Positions (direct):
As 0.250 0.250 0.250
As 0.750 0.750 0.750
O 0.000 0.000 0.000
Ga 0.500 0.500 0.500

Its uncorrected formation energy is 0.298 eV per atom. The space group is No. 225. For the energy above the most stable polymorph in this dataset, the calculation gives 0.352 eV/atom. The calculation puts the total magnetic moment at 0.000 μB per atom. The raw total energy comes out at -4.02 eV per atom.


2.
Entry from the Alexandria database: a geometry-optimized GaAs2O structure (PBE).

a = 4.925 Å, b = 4.925 Å, c = 7.268 Å
α = 70.19°, β = 70.19°, γ = 90.00°
Positions (direct):
As 0.536 0.125 0.250
As 0.214 0.625 0.250
As 0.375 0.464 0.750
As 0.875 0.786 0.750
O 0.500 0.500 0.000
O 0.250 0.750 0.500
Ga 0.000 0.000 0.000
Ga 0.750 0.250 0.500

Its uncorrected formation energy is -0.054 eV per atom. The space group is No. 122. For the energy above the most stable polymorph in this dataset, the calculation gives 0.000 eV/atom. The calculation puts the total magnetic moment at 0.000 μB per atom. The raw total energy comes out at -4.37 eV per atom.


3.
Entry from the Alexandria database: a geometry-optimized GaAsO structure (PBE).

a = 5.367 Å, b = 6.403 Å, c = 5.582 Å
α = 73.27°, β = 64.28°, γ = 41.48°
Positions (direct):
Ga 0.949 0.427 0.391
Ga 0.317 0.565 0.068
O 0.091 0.717 0.800
O 0.786 0.489 0.774
As 0.301 0.887 0.284
As 0.648 0.864 0.801

Its uncorrected formation energy is -0.704 eV per atom. The space group is No. 1. The calculation puts the total magnetic moment at 0.000 μB per atom. The raw total energy comes out at -4.92 eV per atom.


4.
Entry from the Alexandria database: a geometry-optimized Ga3AsO structure (PBE).

a = 4.456 Å, b = 4.456 Å, c = 4.456 Å
α = 90.00°, β = 90.00°, γ = 90.00°
Positions (direct):
As 0.500 0.500 0.500
O 0.000 0.000 0.000
Ga 0.000 0.500 0.000
Ga 0.000 0.000 0.500
Ga 0.500 0.000 0.000

Its uncorrected formation energy is -0.153 eV per atom. The space group is No. 221. For the energy above the most stable polymorph in this dataset, the calculation gives 0.000 eV/atom. The calculation puts the total magnetic moment at 0.000 μB per atom. The raw total energy comes out at -3.89 eV per atom.